Entry from the Alexandria database: a relaxed KNa2MnCl8 crystal (PBE).

Results
Symmetry: P-1 (2)
Total magnetization: 0.27 μB/atom
Energy: -3.520 eV/atom
Crystal system: triclinic
Formation energy (no corrections): -14.56 eV/f.u.

Cell lengths 6.425, 5.664, 8.896 Å; angles 89.80, 90.00, 91.91 degrees
Site moments in Bohr magnetons follow the coordinates.
Atoms (fractional coordinates):
Cl 0.131 0.769 0.186  0.00
Cl 0.490 0.249 0.500  0.07
Cl 0.510 0.751 0.500  0.07
Cl 0.866 0.228 0.185  0.00
Cl 0.306 0.221 0.001  0.00
Cl 0.694 0.779 0.999  0.00
Cl 0.869 0.231 0.814  0.00
Cl 0.134 0.772 0.815  0.00
Na 0.500 0.502 0.218  0.00
Na 0.500 0.498 0.782  0.00
Mn 0.000 0.000 0.000  2.86
K 0.000 0.000 0.500  0.00